DFT (PBE-GGA) results for a relaxed Be4AsW crystal.

Results
DOS at the Fermi energy: 2.19 states/eV/f.u.
Energy of formation from the pure elements: 138 meV/atom
DFT total energy: -5.2799 eV per atom

Lattice parameters (Å, degrees): 6.331 6.331 6.331 90.00 90.00 90.00
Space group F-43m (No. 216)
Asymmetric unit:
Be  0.121  0.121  0.379
As  0.000  0.000  0.000
W  0.250  0.250  0.750